{
  "formula": "Co2Os",
  "functional": "PBE",
  "state": "relaxed",
  "relative_energy_kcal_per_mol_atoms": 11.23,
  "e_form_mev_per_atom": 732,
  "e_tot_ev_per_cell": -23.2,
  "spacegroup": "Fm-3m",
  "magmom_total_mub_per_fu": 2.0,
  "lattice": [[0.000, 2.776, 2.776], [2.776, 0.000, 2.776], [2.776, 2.776, 0.000]],
  "species": ["Co", "Co", "Os"],
  "frac_coords": [[0.750, 0.750, 0.750], [0.250, 0.250, 0.250], [0.000, 0.000, 0.000]]
}